No. 1
DFT (PBE-GGA) results for a relaxed structure of PrNbCu.

E_form ... 1.0190 eV per atom
Electronic total energy ... -5.1763 eV per atom
Distance to the lowest polymorph of the same formula ... 0 meV/atom
Total magnetization ... 0.80 μB/cell
Symmetry ... F-43m (216)

Geometry as POSCAR:
```
PrNbCu
1.0
0.000 3.264 3.264
3.264 0.000 3.264
3.264 3.264 0.000
Pr Nb Cu
1 1 1
direct
0.000 0.000 0.000 Pr
0.750 0.750 0.750 Nb
0.500 0.500 0.500 Cu
```

No. 2
DFT (PBE-GGA) results for a relaxed structure of PrNbCu.

E_form ... 1.3533 eV per atom
Electronic total energy ... -4.8419 eV per atom
Distance to the lowest polymorph of the same formula ... 334 meV/atom
Total magnetization ... 2.31 μB/cell
Symmetry ... F-43m (216)

Geometry as POSCAR:
```
PrNbCu
1.0
0.000 3.329 3.329
3.329 0.000 3.329
3.329 3.329 0.000
Pr Nb Cu
1 1 1
direct
0.000 0.000 0.000 Pr
0.250 0.250 0.250 Nb
0.750 0.750 0.750 Cu
```

No. 3
DFT (PBE-GGA) results for a relaxed structure of NbCuPt2.

E_form ... -0.2446 eV per atom
Electronic total energy ... -6.7253 eV per atom
Total magnetization ... 0.06 μB/cell
Symmetry ... F-43m (216)

Geometry as POSCAR:
```
NbCuPt2
1.0
0.000 3.136 3.136
3.136 0.000 3.136
3.136 3.136 0.000
Nb Cu Pt
1 1 2
direct
0.000 0.000 0.000 Nb
0.250 0.250 0.250 Cu
0.500 0.500 0.500 Pt
0.750 0.750 0.750 Pt
```